Entry 1:
# Cr4C5, optimized geometry, DFT PBE
# energy of formation	0.76	eV/atom
# energy above the lowest structure with this stoichiometry	81	meV per atom
# VASP energy	-8.64	eV per atom
# symmetry	P6_3/mcm (193)
# M_tot	0.00	Bohr magnetons per cell
# crystal system	hexagonal
data_Cr4C5
_chemical_formula_sum 'Cr8 C10'
_space_group_name_H-M_alt 'P 1'
_space_group_IT_number 1
_cell_length_a 5.730
_cell_length_b 5.730
_cell_length_c 5.248
_cell_angle_alpha 90.00
_cell_angle_beta 90.00
_cell_angle_gamma 120.00
loop_
_space_group_symop_operation_xyz
'x,y,z'
loop_
_atom_site_label
_atom_site_type_symbol
_atom_site_fract_x
_atom_site_fract_y
_atom_site_fract_z
Cr1 Cr 0.000 0.000 0.000
Cr2 Cr 0.000 0.000 0.500
Cr3 Cr 0.000 0.405 0.250
Cr4 Cr 0.000 0.595 0.750
Cr5 Cr 0.405 0.000 0.250
Cr6 Cr 0.405 0.405 0.750
Cr7 Cr 0.595 0.000 0.750
Cr8 Cr 0.595 0.595 0.250
C1 C 0.000 0.258 0.750
C2 C 0.000 0.742 0.250
C3 C 0.258 0.000 0.750
C4 C 0.258 0.258 0.250
C5 C 0.333 0.667 0.000
C6 C 0.333 0.667 0.500
C7 C 0.667 0.333 0.000
C8 C 0.667 0.333 0.500
C9 C 0.742 0.000 0.250
C10 C 0.742 0.742 0.750


Entry 2:
# Cr2CuIr, optimized geometry, DFT PBE
# energy of formation	0.03	eV/atom
# VASP energy	-8.02	eV per atom
# symmetry	P4/mmm (123)
# M_tot	0.00	Bohr magnetons per cell
# crystal system	tetragonal
data_Cr2CuIr
_chemical_formula_sum 'Cr2 Cu1 Ir1'
_space_group_name_H-M_alt 'P 1'
_space_group_IT_number 1
_cell_length_a 3.707
_cell_length_b 3.707
_cell_length_c 3.780
_cell_angle_alpha 90.00
_cell_angle_beta 90.00
_cell_angle_gamma 90.00
loop_
_space_group_symop_operation_xyz
'x,y,z'
loop_
_atom_site_label
_atom_site_type_symbol
_atom_site_fract_x
_atom_site_fract_y
_atom_site_fract_z
Cr1 Cr 0.000 0.500 0.000
Cr2 Cr 0.500 0.000 0.000
Cu1 Cu 0.000 0.000 0.500
Ir1 Ir 0.500 0.500 0.500